## one
Computed, not measured: a geometry-optimized BaYRh3 structure at the PBE-GGA level of DFT.

Lattice parameters (Å, degrees): 5.052 5.052 5.052 90.00 90.00 90.00
Positions (direct):
Y: 0.500 0.500 0.500
Rh: 0.000 0.500 0.000
Rh: 0.000 0.000 0.500
Rh: 0.500 0.000 0.000
Ba: 0.000 0.000 0.000

Calculated values
* symmetry: Pm-3m (221)

---

## two
Computed, not measured: a geometry-optimized BaYRh3 structure at the PBE-GGA level of DFT.

Lattice parameters (Å, degrees): 5.081 5.081 5.081 90.00 90.00 90.00
Positions (direct):
Y: 0.000 0.000 0.000
Rh: 0.000 0.500 0.000
Rh: 0.000 0.000 0.500
Rh: 0.500 0.000 0.000
Ba: 0.500 0.500 0.500

Calculated values
* symmetry: Pm-3m (221)

---

Least stable of them? one.

---

## one
Computed, not measured: a geometry-optimized BaY2Rh structure at the PBE-GGA level of DFT.

Lattice parameters (Å, degrees): 4.540 4.757 5.297 90.00 90.00 90.00
Positions (direct):
Ba: 0.500 0.000 0.500
Rh: 0.000 0.500 0.500
Y: 0.000 0.000 0.000
Y: 0.500 0.500 0.000

Calculated values
* symmetry: Pmmm (47)

---

## two
Computed, not measured: a geometry-optimized BaY2Rh structure at the PBE-GGA level of DFT.

Lattice parameters (Å, degrees): 5.325 5.325 5.325 60.00 60.00 60.00
Positions (direct):
Y: 0.250 0.250 0.250
Y: 0.750 0.750 0.750
Rh: 0.000 0.000 0.000
Ba: 0.500 0.500 0.500

Calculated values
* symmetry: Fm-3m (225)

---

## three
Computed, not measured: a geometry-optimized BaY2Rh structure at the PBE-GGA level of DFT.

Lattice parameters (Å, degrees): 6.413 6.413 6.751 60.22 60.22 34.93
Positions (direct):
Ba: 0.557 0.557 0.497
Rh: 0.290 0.290 0.045
Y: 0.922 0.922 0.129
Y: 0.732 0.732 0.828

Calculated values
* symmetry: Cm (8)

---

## four
Computed, not measured: a geometry-optimized BaY2Rh structure at the PBE-GGA level of DFT.

Lattice parameters (Å, degrees): 3.838 4.154 8.833 76.38 90.00 90.00
Positions (direct):
Ba: 0.000 0.671 0.534
Rh: 0.500 0.502 0.870
Y: 0.000 0.980 0.915
Y: 0.500 0.347 0.181

Calculated values
* symmetry: Amm2 (38)

---

Least stable of them? one.

---

## one
Computed, not measured: a geometry-optimized BaY2Rh structure at the PBE-GGA level of DFT.

Lattice parameters (Å, degrees): 3.570 3.574 10.449 70.09 90.00 90.00
Positions (direct):
Ba: 0.500 0.250 0.250
Rh: 0.500 0.750 0.750
Y: 0.000 0.088 0.912
Y: 0.000 0.412 0.588

Calculated values
* symmetry: P2/m (10)

---

## two
Computed, not measured: a geometry-optimized BaY2Rh structure at the PBE-GGA level of DFT.

Lattice parameters (Å, degrees): 6.642 6.642 6.642 147.20 125.26 65.30
Positions (direct):
Ba: 0.250 0.750 0.500
Rh: 0.750 0.250 0.500
Y: 0.932 0.932 0.000
Y: 0.568 0.568 0.000

Calculated values
* symmetry: Immm (71)

---

Least stable of them? two.

---

## one
Computed, not measured: a geometry-optimized BaY2Rh structure at the PBE-GGA level of DFT.

Lattice parameters (Å, degrees): 7.230 7.230 7.230 150.55 137.32 52.70
Positions (direct):
Ba: 0.563 0.563 0.000
Rh: 0.767 0.267 0.500
Y: 0.919 0.919 0.000
Y: 0.252 0.752 0.500

Calculated values
* symmetry: Imm2 (44)

---

## two
Computed, not measured: a geometry-optimized BaY2Rh structure at the PBE-GGA level of DFT.

Lattice parameters (Å, degrees): 5.144 5.144 4.200 90.00 90.00 90.00
Positions (direct):
Ba: 0.500 0.000 0.500
Rh: 0.000 0.500 0.500
Y: 0.000 0.000 0.000
Y: 0.500 0.500 0.000

Calculated values
* symmetry: P4/mmm (123)

---

Least stable of them? two.

---

## one
Computed, not measured: a geometry-optimized BaY2Rh structure at the PBE-GGA level of DFT.

Lattice parameters (Å, degrees): 4.126 4.126 9.952 78.21 78.21 59.92
Positions (direct):
Ba: 0.250 0.250 0.250
Rh: 0.750 0.750 0.750
Y: 0.035 0.035 0.897
Y: 0.465 0.465 0.603

Calculated values
* symmetry: C2/m (12)

---

## two
Computed, not measured: a geometry-optimized BaY2Rh structure at the PBE-GGA level of DFT.

Lattice parameters (Å, degrees): 5.424 5.424 5.424 60.00 60.00 60.00
Positions (direct):
Ba: 0.500 0.500 0.500
Rh: 0.750 0.750 0.750
Y: 0.000 0.000 0.000
Y: 0.250 0.250 0.250

Calculated values
* symmetry: F-43m (216)

---

## three
Computed, not measured: a geometry-optimized BaY2Rh structure at the PBE-GGA level of DFT.

Lattice parameters (Å, degrees): 3.918 3.918 8.748 90.00 90.00 90.00
Positions (direct):
Ba: 0.000 0.000 0.530
Rh: 0.500 0.500 0.862
Y: 0.000 0.000 0.928
Y: 0.500 0.500 0.180

Calculated values
* symmetry: P4mm (99)

---

Least stable of them? two.

---

## one
Computed, not measured: a geometry-optimized BaY3Rh structure at the PBE-GGA level of DFT.

Lattice parameters (Å, degrees): 5.564 5.564 5.564 90.00 90.00 90.00
Positions (direct):
Y: 0.000 0.500 0.000
Y: 0.000 0.000 0.500
Y: 0.500 0.000 0.000
Rh: 0.000 0.000 0.000
Ba: 0.500 0.500 0.500

Calculated values
* symmetry: Pm-3m (221)

---

## two
Computed, not measured: a geometry-optimized BaY3Rh structure at the PBE-GGA level of DFT.

Lattice parameters (Å, degrees): 5.496 5.496 5.496 90.00 90.00 90.00
Positions (direct):
Y: 0.000 0.500 0.000
Y: 0.000 0.000 0.500
Y: 0.500 0.000 0.000
Rh: 0.500 0.500 0.500
Ba: 0.000 0.000 0.000

Calculated values
* symmetry: Pm-3m (221)

---

Least stable of them? two.

---

## one
Computed, not measured: a geometry-optimized Ba3Zn4Rh2 structure at the PBE-GGA level of DFT.

Lattice parameters (Å, degrees): 4.434 6.510 10.291 61.24 77.56 70.09
Positions (direct):
Ba: 0.328 0.690 0.655
Ba: 0.000 0.000 0.000
Ba: 0.672 0.310 0.345
Zn: 0.281 0.370 0.068
Zn: 0.719 0.630 0.932
Zn: 0.053 0.270 0.623
Zn: 0.947 0.730 0.377
Rh: 0.389 0.947 0.276
Rh: 0.611 0.053 0.724

Calculated values
* symmetry: C2/m (12)

---

## two
Computed, not measured: a geometry-optimized Ba3Zn4Rh2 structure at the PBE-GGA level of DFT.

Lattice parameters (Å, degrees): 4.541 6.367 9.511 109.04 90.00 110.90
Positions (direct):
Ba: 0.615 0.230 0.686
Ba: 0.000 0.000 0.000
Ba: 0.385 0.770 0.314
Zn: 0.724 0.448 0.071
Zn: 0.276 0.552 0.929
Zn: 0.844 0.688 0.575
Zn: 0.156 0.312 0.425
Rh: 0.674 0.347 0.308
Rh: 0.326 0.653 0.692

Calculated values
* symmetry: C2/m (12)

---

Least stable of them? two.

---

## one
Computed, not measured: a geometry-optimized Ba2Zn2Rh structure at the PBE-GGA level of DFT.

Lattice parameters (Å, degrees): 7.236 7.236 5.151 90.00 90.00 90.00
Positions (direct):
Zn: 0.367 0.867 0.000
Zn: 0.867 0.633 0.000
Zn: 0.633 0.133 0.000
Zn: 0.133 0.367 0.000
Rh: 0.000 0.000 0.000
Rh: 0.500 0.500 0.000
Ba: 0.187 0.687 0.500
Ba: 0.687 0.813 0.500
Ba: 0.813 0.313 0.500
Ba: 0.313 0.187 0.500

Calculated values
* symmetry: P4/mbm (127)

---

## two
Computed, not measured: a geometry-optimized Ba2Zn2Rh structure at the PBE-GGA level of DFT.

Lattice parameters (Å, degrees): 8.405 8.405 4.655 90.00 90.00 90.00
Positions (direct):
Zn: 0.112 0.612 0.500
Zn: 0.612 0.888 0.500
Zn: 0.888 0.388 0.500
Zn: 0.388 0.112 0.500
Rh: 0.000 0.000 0.000
Rh: 0.500 0.500 0.000
Ba: 0.313 0.813 0.000
Ba: 0.813 0.687 0.000
Ba: 0.687 0.187 0.000
Ba: 0.187 0.313 0.000

Calculated values
* symmetry: P4/mbm (127)

---

Least stable of them? two.

---

## one
Computed, not measured: a geometry-optimized Ba2Zn2Rh structure at the PBE-GGA level of DFT.

Lattice parameters (Å, degrees): 3.776 3.776 10.428 79.57 79.57 90.00
Positions (direct):
Zn: 0.750 0.250 0.500
Zn: 0.250 0.750 0.500
Rh: 0.000 0.000 0.000
Ba: 0.408 0.408 0.183
Ba: 0.592 0.592 0.817

Calculated values
* symmetry: I4/mmm (139)

---

## two
Computed, not measured: a geometry-optimized Ba2Zn2Rh structure at the PBE-GGA level of DFT.

Lattice parameters (Å, degrees): 4.380 6.519 11.537 80.90 79.01 70.42
Positions (direct):
Ba: 0.297 0.777 0.629
Ba: 0.091 0.701 0.115
Ba: 0.703 0.223 0.371
Ba: 0.909 0.299 0.885
Zn: 0.965 0.663 0.407
Zn: 0.374 0.113 0.139
Zn: 0.035 0.337 0.593
Zn: 0.626 0.887 0.861
Rh: 0.432 0.823 0.313
Rh: 0.568 0.177 0.687

Calculated values
* symmetry: P-1 (2)

---

Least stable of them? one.

---

## one
Computed, not measured: a geometry-optimized Ba2Zn3Rh structure at the PBE-GGA level of DFT.

Lattice parameters (Å, degrees): 4.619 5.566 7.254 112.56 108.56 90.00
Positions (direct):
Ba: 0.702 0.202 0.404
Ba: 0.298 0.798 0.596
Zn: 0.404 0.404 0.809
Zn: 0.000 0.000 0.000
Zn: 0.596 0.596 0.191
Rh: 0.000 0.500 0.000

Calculated values
* symmetry: Immm (71)

---

## two
Computed, not measured: a geometry-optimized Ba2Zn3Rh structure at the PBE-GGA level of DFT.

Lattice parameters (Å, degrees): 6.542 6.542 9.032 111.29 111.28 89.87
Positions (direct):
Ba: 0.250 0.750 0.500
Ba: 0.744 0.744 0.000
Ba: 0.750 0.250 0.500
Ba: 0.256 0.256 0.000
Zn: 0.658 0.170 0.828
Zn: 0.830 0.342 0.172
Zn: 0.342 0.830 0.172
Zn: 0.170 0.658 0.828
Zn: 0.825 0.825 0.650
Zn: 0.175 0.175 0.350
Rh: 0.339 0.339 0.678
Rh: 0.661 0.661 0.322

Calculated values
* symmetry: Fmmm (69)

---

Least stable of them? one.

---

## one
Computed, not measured: a geometry-optimized Ba3ZnRh structure at the PBE-GGA level of DFT.

Lattice parameters (Å, degrees): 4.431 7.648 11.688 90.03 90.00 90.00
Positions (direct):
Ba: 0.250 0.747 0.570
Ba: 0.250 0.188 0.750
Ba: 0.250 0.747 0.930
Ba: 0.750 0.253 0.430
Ba: 0.750 0.253 0.070
Ba: 0.750 0.812 0.250
Zn: 0.750 0.542 0.750
Zn: 0.250 0.458 0.250
Rh: 0.250 0.129 0.250
Rh: 0.750 0.871 0.750

Calculated values
* symmetry: P2_1/m (11)

---

## two
Computed, not measured: a geometry-optimized Ba3ZnRh structure at the PBE-GGA level of DFT.

Lattice parameters (Å, degrees): 6.027 6.027 6.027 90.00 90.00 90.00
Positions (direct):
Zn: 0.500 0.500 0.500
Rh: 0.000 0.000 0.000
Ba: 0.000 0.500 0.000
Ba: 0.000 0.000 0.500
Ba: 0.500 0.000 0.000

Calculated values
* symmetry: Pm-3m (221)

---

Least stable of them? two.